A plane-wave DFT calculation with PBE-GGA was carried out for Cs2CoHgBi after structural relaxation.

The space group is P4/mmm (No. 123) and the conventional cell measures 7.297, 7.297 and 5.629 Å, with angles of 90.00, 90.00 and 90.00 degrees. The asymmetric unit holds Cs at (0.000, 0.500, 0.000), Co at (0.000, 0.000, 0.500), Hg at (0.500, 0.500, 0.000) and Bi at (0.500, 0.500, 0.500).

Its formation enthalpy at 0 K is 0.61 eV/atom. Its volume is 299.7 Å³ per cell.